[1]
The following is a DFT calculation (GGA-PBE) of crystalline ZrCd2BiO6 at its relaxed geometry.

Summary:
- Formation energy (no corrections): -1.672 eV per atom

Cell: 5.745 5.745 6.013 Å, 61.46 61.46 60.00°
Fractional coordinates of all 10 atoms:
Cd1 0.536 0.536 0.393
Zr1 0.813 0.814 0.559
O1 0.085 0.454 0.762
Bi1 0.314 0.314 0.059
Cd2 0.034 0.034 0.899
O2 0.935 0.609 0.273
O3 0.609 0.184 0.273
O4 0.184 0.935 0.273
O5 0.699 0.085 0.762
O6 0.454 0.699 0.762

[2]
The following is a DFT calculation (GGA-PBE) of crystalline Cd2BiOs at its relaxed geometry.

Summary:
- Calculated formation energy: 74.14 kJ/mol of atoms

Cell: 4.119 4.119 10.943 Å, 79.15 79.15 90.00°
Fractional coordinates of all 8 atoms:
Cd1 0.151 0.625 0.250
Cd2 0.599 0.125 0.250
Bi1 0.000 0.000 0.000
Os1 0.250 0.750 0.500
Cd3 0.375 0.401 0.750
Cd4 0.875 0.849 0.750
Bi2 0.750 0.250 0.500
Os2 0.500 0.500 0.000

[3]
The following is a DFT calculation (GGA-PBE) of crystalline CdBi2Os at its relaxed geometry.

Summary:
- Calculated formation energy: 74.68 kJ/mol of atoms

Cell: 6.527 6.527 7.915 Å, 65.65 65.65 90.00°
Fractional coordinates of all 8 atoms:
Bi1 0.875 0.927 0.750
Os1 0.750 0.250 0.500
Cd1 0.500 0.500 0.000
Bi2 0.375 0.323 0.750
Bi3 0.677 0.125 0.250
Bi4 0.073 0.625 0.250
Cd2 0.250 0.750 0.500
Os2 0.000 0.000 0.000

[4]
The following is a DFT calculation (GGA-PBE) of crystalline CdBi3Os at its relaxed geometry.

Summary:
- Excess energy over the best structure of this formula in the dataset: 0 meV/atom
- Calculated formation energy: 67.40 kJ/mol of atoms

Cell: 5.368 5.368 5.368 Å, 90.00 90.00 90.00°
Fractional coordinates of all 5 atoms:
Cd1 0.500 0.500 0.500
Os1 0.000 0.000 0.000
Bi1 0.000 0.000 0.500
Bi2 0.000 0.500 0.000
Bi3 0.500 0.000 0.000

[5]
The following is a DFT calculation (GGA-PBE) of crystalline CdBiOs3 at its relaxed geometry.

Summary:
- Excess energy over the best structure of this formula in the dataset: 0 meV/atom
- Calculated formation energy: 266.11 kJ/mol of atoms

Cell: 4.852 4.852 4.852 Å, 90.00 90.00 90.00°
Fractional coordinates of all 5 atoms:
Bi1 0.500 0.500 0.500
Os1 0.000 0.000 0.500
Cd1 0.000 0.000 0.000
Os2 0.000 0.500 0.000
Os3 0.500 0.000 0.000

[6]
The following is a DFT calculation (GGA-PBE) of crystalline CdBiPOs2 at its relaxed geometry.

Summary:
- Calculated formation energy: 80.04 kJ/mol of atoms

Cell: 4.477 4.477 5.020 Å, 90.00 90.00 90.00°
Fractional coordinates of all 5 atoms:
P1 0.000 0.000 0.000
Os1 0.000 0.500 0.000
Cd1 0.000 0.000 0.500
Bi1 0.500 0.500 0.500
Os2 0.500 0.000 0.000

The calculation returns the following calculated volume values, one per record and in order: 143.36; 178.98; 273.95; 154.70; 114.23; 100.62 Å³ per cell.
The calculation returns the following E values, one per record and in order: -6.0728; -3.4668; -4.2027; -4.0590; -4.9390; -5.7036 eV/atom.
The calculation returns the following mass density values, one per record and in order: 7.19; 11.58; 8.74; 9.98; 12.97; 12.09 g/cm3.